# 1
The following is a PBE calculation of a relaxed structure of BaCrW2, from Alexandria.

Unit cell a=4.8118 b=4.8118 c=3.2314 alpha=90.00 beta=90.00 gamma=90.00
Positions (direct):
1 Ba 0.0000 0.0000 0.0000
2 Cr 0.5000 0.5000 0.0000
3 W 0.0000 0.5000 0.5000
4 W 0.5000 0.0000 0.5000

- formation energy from the elements (eV per formula unit) = 7.29
- crystal system = tetragonal
- V (Å³/atom) = 18.70
- total moment (μB per formula unit) = 1.47

---

# 2
The following is a PBE calculation of a relaxed structure of Sm2Al3Zn, from Alexandria.

Unit cell a=3.6795 b=4.5503 c=7.8928 alpha=90.00 beta=90.00 gamma=90.00
Positions (direct):
1 Sm 0.0000 0.0000 0.0000
2 Sm 0.0000 0.5000 0.5000
3 Al 0.5000 0.0000 0.3339
4 Al 0.5000 0.0000 0.6714
5 Al 0.5000 0.5000 0.1621
6 Zn 0.5000 0.5000 0.8323

- formation energy from the elements (eV per formula unit) = -2.83
- crystal system = orthorhombic
- V (Å³/atom) = 22.02
- total moment (μB per formula unit) = 0.00

---

# 3
The following is a PBE calculation of a relaxed structure of Nd4PuBi5, from Alexandria.

Unit cell a=16.5590 b=16.5590 c=16.5590 alpha=164.03 beta=164.03 gamma=22.66
Positions (direct):
1 Nd 0.1003 0.1003 0.0000
2 Nd 0.3003 0.3003 0.0000
3 Nd 0.6997 0.6997 0.0000
4 Nd 0.8997 0.8997 0.0000
5 Pu 0.5000 0.5000 0.0000
6 Bi 0.0000 0.0000 0.0000
7 Bi 0.2001 0.2001 0.0000
8 Bi 0.4010 0.4010 0.0000
9 Bi 0.5990 0.5990 0.0000
10 Bi 0.7999 0.7999 0.0000

- formation energy from the elements (eV per formula unit) = -8.20
- crystal system = tetragonal
- V (Å³/atom) = 34.36
- total moment (μB per formula unit) = 5.13